# 1
The following is a DFT calculation (PBE) of an optimized crystal structure of Be2CrHg.

## Properties
- formation enthalpy at 0 K (eV/atom) = 0.5324
- relative energy among the computed polymorphs (eV per atom) = 0.1857
- space group = C2/m

a = 4.321 Å, b = 4.321 Å, c = 4.741 Å
α = 80.03°, β = 80.03°, γ = 40.23°
Last column: magnetic moment on the atom in μB.
Element x y z (fractional)
Cr (0.750, 0.750, 0.750)  2.78
Hg (0.250, 0.250, 0.250)  -0.02
Be (0.015, 0.015, 0.920)  -0.01
Be (0.485, 0.485, 0.580)  -0.01

=====

# 2
The following is a DFT calculation (PBE) of an optimized crystal structure of CaSmCuS3.

## Properties
- formation energy from raw total energies (eV per atom) = -1.614
- space group = P2_1/m

a = 3.892 Å, b = 8.146 Å, c = 8.578 Å
α = 101.16°, β = 90.00°, γ = 90.00°
Element x y z (fractional)
Ca (0.250, 0.178, 0.231)
Ca (0.750, 0.822, 0.769)
Sm (0.250, 0.669, 0.177)
Sm (0.750, 0.331, 0.823)
Cu (0.250, 0.085, 0.584)
Cu (0.750, 0.915, 0.416)
S (0.750, 0.905, 0.140)
S (0.250, 0.095, 0.860)
S (0.250, 0.784, 0.502)
S (0.750, 0.216, 0.498)
S (0.750, 0.419, 0.163)
S (0.250, 0.581, 0.837)

=====

# 3
The following is a DFT calculation (PBE) of an optimized crystal structure of Fe2AgPb.

## Properties
- formation enthalpy at 0 K (eV/atom) = 0.5476
- space group = F-43m

a = 4.592 Å, b = 4.592 Å, c = 4.592 Å
α = 60.00°, β = 60.00°, γ = 60.00°
Last column: magnetic moment on the atom in μB.
Element x y z (fractional)
Ag (0.500, 0.500, 0.500)  0.02
Fe (0.000, 0.000, 0.000)  2.59
Fe (0.250, 0.250, 0.250)  2.84
Pb (0.750, 0.750, 0.750)  0.00

=====

# 4
The following is a DFT calculation (PBE) of an optimized crystal structure of Ba2NdIrO6.

## Properties
- formation energy from raw total energies (eV per atom) = -2.269
- space group = Fm-3m

a = 6.078 Å, b = 6.078 Å, c = 6.078 Å
α = 60.00°, β = 60.00°, γ = 60.00°
Last column: magnetic moment on the atom in μB.
Element x y z (fractional)
Ba (0.750, 0.750, 0.750)  0.01
Ba (0.250, 0.250, 0.250)  0.01
Nd (0.000, 0.000, 0.000)  -0.02
Ir (0.500, 0.500, 0.500)  1.16
O (0.731, 0.731, 0.269)  0.11
O (0.269, 0.731, 0.269)  0.11
O (0.731, 0.269, 0.269)  0.11
O (0.269, 0.269, 0.731)  0.11
O (0.731, 0.269, 0.731)  0.11
O (0.269, 0.731, 0.731)  0.11